Below is crystalline CaTeW4 at its relaxed geometry, with properties calculated at the PBE-GGA level.

Cell: 7.775 7.775 7.775 Å, 90.00 90.00 90.00°
Space group F-43m (No. 216)
Inequivalent atoms, fractional coordinates:
Ca 0.000 0.000 0.000
Te 0.250 0.250 0.750
W 0.126 0.126 0.374

Results
The value obtained for the uncorrected energy is -8.803 eV per atom. The value obtained for the density of states at the Fermi level is 6.857 states/eV/f.u. As for the calculated volume: 117.50 Å³/f.u. The value obtained for the uncorrected formation energy is 690 meV per atom.